Model i:
A plane-wave DFT calculation with PBE-GGA was carried out for crystalline La3CeSn2 at its relaxed geometry.

Cell: 6.624 6.598 10.166 Å, 108.92 109.02 90.00°
Last column: magnetic moment on the atom in μB.
Element x y z (fractional)
1 La 0.429 0.679 0.358  0.14
2 La 0.571 0.321 0.642  0.14
3 La 0.071 0.821 0.642  0.14
4 La 0.929 0.179 0.358  0.14
5 La 0.500 0.750 0.000  -0.02
6 La 0.500 0.250 0.000  -0.02
7 Ce 0.000 0.250 0.000  0.73
8 Ce 0.000 0.750 0.000  0.73
9 Sn 0.381 0.135 0.270  -0.02
10 Sn 0.619 0.865 0.730  -0.02
11 Sn 0.111 0.365 0.730  -0.02
12 Sn 0.889 0.635 0.270  -0.02

Results
**Mass density**: 6.68 g/cm3


Model ii:
A plane-wave DFT calculation with PBE-GGA was carried out for crystalline La3CeSn2 at its relaxed geometry.

Cell: 5.388 3.369 9.437 Å, 90.00 90.00 90.00°
Last column: magnetic moment on the atom in μB.
Element x y z (fractional)
1 La 0.000 0.500 0.162  0.00
2 La 0.000 0.500 0.827  0.02
3 La 0.500 0.500 0.349  0.01
4 Ce 0.500 0.500 0.663  0.42
5 Sn 0.500 0.000 0.996  0.00
6 Sn 0.000 0.000 0.503  -0.01

Results
**Mass density**: 7.70 g/cm3


Energies relative to the most stable structure, in kJ/mol of atoms: model i 0.0; model ii 24.1.


Model i:
A plane-wave DFT calculation with PBE-GGA was carried out for crystalline LaCe2Sn2 at its relaxed geometry.

Cell: 8.260 8.260 6.232 Å, 112.16 112.16 97.99°
Last column: magnetic moment on the atom in μB.
Element x y z (fractional)
1 La 0.877 0.623 0.750  0.01
2 La 0.123 0.377 0.250  0.01
3 Ce 0.234 0.965 0.600  0.82
4 Ce 0.465 0.734 0.100  0.82
5 Ce 0.766 0.035 0.400  0.82
6 Ce 0.535 0.266 0.900  0.82
7 Sn 0.146 0.354 0.750  -0.02
8 Sn 0.382 0.118 0.250  -0.02
9 Sn 0.618 0.882 0.750  -0.02
10 Sn 0.854 0.646 0.250  -0.02

Results
**Mass density**: 6.33 g/cm3


Model ii:
A plane-wave DFT calculation with PBE-GGA was carried out for crystalline LaCe2Sn2 at its relaxed geometry.

Cell: 3.548 9.104 9.104 Å, 90.00 90.00 90.00°
Last column: magnetic moment on the atom in μB.
Element x y z (fractional)
1 La 0.000 0.000 0.000  -0.12
2 La 0.000 0.500 0.500  -0.12
3 Ce 0.000 0.397 0.897  0.66
4 Ce 0.000 0.897 0.603  0.66
5 Ce 0.000 0.603 0.103  0.66
6 Ce 0.000 0.103 0.397  0.66
7 Sn 0.500 0.189 0.689  0.00
8 Sn 0.500 0.689 0.811  0.00
9 Sn 0.500 0.811 0.311  0.00
10 Sn 0.500 0.311 0.189  0.00

Results
**Mass density**: 7.42 g/cm3


Energies relative to the most stable structure, in kJ/mol of atoms: model i 8.3; model ii 0.0.


Model i:
A plane-wave DFT calculation with PBE-GGA was carried out for crystalline LaCeTlSn at its relaxed geometry.

Cell: 4.150 4.150 6.949 Å, 90.00 90.00 90.00°
Last column: magnetic moment on the atom in μB.
Element x y z (fractional)
1 La 0.500 0.500 0.594  0.15
2 Ce 0.500 0.500 0.121  0.87
3 Tl 0.000 0.000 0.865  0.00
4 Sn 0.000 0.000 0.347  -0.03

Results
**Mass density**: 8.36 g/cm3


Model ii:
A plane-wave DFT calculation with PBE-GGA was carried out for crystalline LaCeTlSn at its relaxed geometry.

Cell: 5.551 5.551 5.551 Å, 60.00 60.00 60.00°
Last column: magnetic moment on the atom in μB.
Element x y z (fractional)
1 Tl 0.750 0.750 0.750  0.01
2 Sn 0.250 0.250 0.250  0.01
3 Ce 0.000 0.000 0.000  0.96
4 La 0.500 0.500 0.500  0.07

Results
**Mass density**: 8.26 g/cm3


Energies relative to the most stable structure, in kJ/mol of atoms: model i 0.0; model ii 3.1.


Model i:
A plane-wave DFT calculation with PBE-GGA was carried out for crystalline La2TbCe at its relaxed geometry.

Cell: 3.585 3.585 10.242 Å, 90.00 90.00 90.00°
Element x y z (fractional)
1 Tb 0.500 0.500 0.000
2 Ce 0.500 0.500 0.500
3 La 0.000 0.000 0.737
4 La 0.000 0.000 0.263

Results
**Mass density**: 7.28 g/cm3


Model ii:
A plane-wave DFT calculation with PBE-GGA was carried out for crystalline La2TbCe at its relaxed geometry.

Cell: 5.086 5.144 5.144 Å, 90.00 90.00 90.00°
Last column: magnetic moment on the atom in μB.
Element x y z (fractional)
1 Tb 0.500 0.500 0.500  0.02
2 Ce 0.500 0.000 0.000  0.72
3 La 0.000 0.000 0.500  0.02
4 La 0.000 0.500 0.000  0.02

Results
**Mass density**: 7.12 g/cm3


Model iii:
A plane-wave DFT calculation with PBE-GGA was carried out for crystalline La2TbCe at its relaxed geometry.

Cell: 5.815 5.815 5.815 Å, 60.00 60.00 60.00°
Last column: magnetic moment on the atom in μB.
Element x y z (fractional)
1 Tb 0.500 0.500 0.500  0.35
2 Ce 0.000 0.000 0.000  1.13
3 La 0.250 0.250 0.250  0.28
4 La 0.750 0.750 0.750  0.28

Results
**Mass density**: 6.89 g/cm3


Energies relative to the most stable structure, in kJ/mol of atoms: model i 0.0; model ii 1.6; model iii 12.9.